No. 1
VASP calculation (PBE) on crystalline Er4Cd3Ag2 at its relaxed geometry.

Formation enthalpy at 0 K   -26 kJ/mol of atoms
E_tot   -3.24 eV per atom

Lattice parameters (Å, degrees): 5.084 5.084 9.708 90.00 90.00 120.00
Fractional coordinates of all 9 atoms:
Er 0.000 0.000 0.170
Er 0.000 0.000 0.830
Er 0.333 0.667 0.618
Er 0.667 0.333 0.382
Cd 0.000 0.000 0.500
Cd 0.333 0.667 0.987
Cd 0.667 0.333 0.013
Ag 0.333 0.667 0.307
Ag 0.667 0.333 0.693



No. 2
VASP calculation (PBE) on crystalline ErCdAg at its relaxed geometry.

Formation enthalpy at 0 K   -27 kJ/mol of atoms
E_tot   -3.05 eV per atom

Lattice parameters (Å, degrees): 4.888 4.888 3.285 90.00 90.00 120.00
Fractional coordinates of all 3 atoms:
Er 0.000 0.000 0.000
Cd 0.333 0.667 0.500
Ag 0.667 0.333 0.500



No. 3
VASP calculation (PBE) on crystalline Er4CdAg2 at its relaxed geometry.

Offset from the most stable computed form   154 meV per atom
Formation enthalpy at 0 K   -1 kJ/mol of atoms
E_tot   -3.57 eV per atom

Lattice parameters (Å, degrees): 9.707 9.707 9.707 29.53 29.53 29.53
Fractional coordinates of all 7 atoms:
Er 0.120 0.120 0.120
Er 0.295 0.295 0.295
Er 0.705 0.705 0.705
Er 0.880 0.880 0.880
Cd 0.500 0.500 0.500
Ag 0.400 0.400 0.400
Ag 0.600 0.600 0.600



No. 4
VASP calculation (PBE) on crystalline Er2CdAg5 at its relaxed geometry.

Formation enthalpy at 0 K   -18 kJ/mol of atoms
E_tot   -3.23 eV per atom

Lattice parameters (Å, degrees): 5.035 5.035 13.243 90.00 90.00 90.00
Fractional coordinates of all 16 atoms:
Er 0.000 0.000 0.246
Er 0.000 0.000 0.754
Er 0.500 0.500 0.254
Er 0.500 0.500 0.746
Cd 0.000 0.000 0.500
Cd 0.500 0.500 0.000
Ag 0.000 0.000 0.000
Ag 0.000 0.500 0.116
Ag 0.000 0.500 0.384
Ag 0.000 0.500 0.616
Ag 0.000 0.500 0.884
Ag 0.500 0.000 0.116
Ag 0.500 0.000 0.384
Ag 0.500 0.000 0.616
Ag 0.500 0.000 0.884
Ag 0.500 0.500 0.500



No. 5
VASP calculation (PBE) on crystalline ErCd2Ag at its relaxed geometry.

Formation enthalpy at 0 K   -18 kJ/mol of atoms
E_tot   -2.50 eV per atom

Lattice parameters (Å, degrees): 4.434 4.434 4.652 90.00 90.00 90.00
Fractional coordinates of all 4 atoms:
Er 0.000 0.000 0.000
Cd 0.000 0.500 0.500
Cd 0.500 0.000 0.500
Ag 0.500 0.500 0.000



No. 6
VASP calculation (PBE) on crystalline ErCdAg at its relaxed geometry.

Formation enthalpy at 0 K   9 kJ/mol of atoms
E_tot   -2.68 eV per atom

Lattice parameters (Å, degrees): 5.007 3.406 5.486 90.00 113.76 90.00
Fractional coordinates of all 3 atoms:
Er 0.000 0.000 0.000
Cd 0.000 0.500 0.500
Ag 0.500 0.500 0.000



No. 7
VASP calculation (PBE) on crystalline Er2Cd3Ag at its relaxed geometry.

Offset from the most stable computed form   3 meV per atom
Formation enthalpy at 0 K   -28 kJ/mol of atoms
E_tot   -2.74 eV per atom

Lattice parameters (Å, degrees): 9.855 9.175 5.939 78.17 65.69 36.15
Fractional coordinates of all 12 atoms:
Er 0.248 0.752 0.752
Er 0.250 0.250 0.250
Er 0.750 0.750 0.750
Er 0.752 0.248 0.248
Cd 0.164 0.668 0.332
Cd 0.332 0.332 0.668
Cd 0.332 0.836 0.164
Cd 0.668 0.164 0.836
Cd 0.668 0.668 0.332
Cd 0.836 0.332 0.668
Ag 0.167 0.167 0.833
Ag 0.833 0.833 0.167



No. 8
VASP calculation (PBE) on crystalline Er3CdAg4 at its relaxed geometry.

Offset from the most stable computed form   0 meV per atom
Formation enthalpy at 0 K   -25 kJ/mol of atoms
E_tot   -3.51 eV per atom

Lattice parameters (Å, degrees): 9.997 7.163 4.997 90.00 90.00 90.00
Fractional coordinates of all 16 atoms:
Er 0.000 0.000 0.000
Er 0.250 0.000 0.499
Er 0.250 0.500 0.499
Er 0.500 0.000 0.000
Er 0.750 0.000 0.501
Er 0.750 0.500 0.501
Cd 0.000 0.500 0.000
Cd 0.500 0.500 0.000
Ag 0.000 0.251 0.500
Ag 0.000 0.749 0.500
Ag 0.250 0.250 0.999
Ag 0.250 0.750 0.999
Ag 0.500 0.251 0.500
Ag 0.500 0.749 0.500
Ag 0.750 0.250 0.001
Ag 0.750 0.750 0.001



No. 9
VASP calculation (PBE) on crystalline ErCd2Ag at its relaxed geometry.

Formation enthalpy at 0 K   -26 kJ/mol of atoms
E_tot   -2.58 eV per atom

Lattice parameters (Å, degrees): 4.951 4.951 7.108 90.00 90.00 90.00
Fractional coordinates of all 8 atoms:
Er 0.000 0.000 0.000
Er 0.500 0.500 0.500
Cd 0.000 0.000 0.500
Cd 0.000 0.500 0.250
Cd 0.500 0.000 0.750
Cd 0.500 0.500 0.000
Ag 0.000 0.500 0.750
Ag 0.500 0.000 0.250



No. 10
VASP calculation (PBE) on crystalline EuErCdAg at its relaxed geometry.

Formation enthalpy at 0 K   -26 kJ/mol of atoms
E_tot   -4.92 eV per atom

Lattice parameters (Å, degrees): 7.508 7.508 7.508 90.00 90.00 90.00
Fractional coordinates of all 16 atoms:
Eu 0.000 0.000 0.000
Eu 0.000 0.500 0.500
Eu 0.500 0.000 0.500
Eu 0.500 0.500 0.000
Er 0.000 0.000 0.500
Er 0.000 0.500 0.000
Er 0.500 0.000 0.000
Er 0.500 0.500 0.500
Cd 0.250 0.250 0.250
Cd 0.250 0.750 0.750
Cd 0.750 0.250 0.750
Cd 0.750 0.750 0.250
Ag 0.250 0.250 0.750
Ag 0.250 0.750 0.250
Ag 0.750 0.250 0.250
Ag 0.750 0.750 0.750



No. 11
VASP calculation (PBE) on crystalline ErCdAgF6 at its relaxed geometry.

Formation energy without anion corrections   -2.77 eV/atom
E_tot   -4.94 eV per atom

Lattice parameters (Å, degrees): 5.326 5.326 10.767 90.00 90.00 90.00
Fractional coordinates of all 18 atoms:
Er 0.000 0.000 0.000
Er 0.500 0.500 0.500
Cd 0.000 0.000 0.336
Cd 0.500 0.500 0.836
Ag 0.000 0.000 0.667
Ag 0.500 0.500 0.167
F 0.178 0.178 0.161
F 0.203 0.203 0.858
F 0.213 0.213 0.486
F 0.287 0.713 0.986
F 0.297 0.703 0.358
F 0.322 0.678 0.661
F 0.678 0.322 0.661
F 0.703 0.297 0.358
F 0.713 0.287 0.986
F 0.787 0.787 0.486
F 0.797 0.797 0.858
F 0.822 0.822 0.161



No. 12
VASP calculation (PBE) on crystalline ErCdGaAg at its relaxed geometry.

Formation enthalpy at 0 K   -31 kJ/mol of atoms
E_tot   -3.16 eV per atom

Lattice parameters (Å, degrees): 6.909 6.909 6.909 90.00 90.00 90.00
Fractional coordinates of all 16 atoms:
Er 0.000 0.000 0.000
Er 0.000 0.500 0.500
Er 0.500 0.000 0.500
Er 0.500 0.500 0.000
Cd 0.000 0.000 0.500
Cd 0.000 0.500 0.000
Cd 0.500 0.000 0.000
Cd 0.500 0.500 0.500
Ga 0.250 0.250 0.750
Ga 0.250 0.750 0.250
Ga 0.750 0.250 0.250
Ga 0.750 0.750 0.750
Ag 0.250 0.250 0.250
Ag 0.250 0.750 0.750
Ag 0.750 0.250 0.750
Ag 0.750 0.750 0.250



No. 13
VASP calculation (PBE) on crystalline Er4CdGaAg2 at its relaxed geometry.

Formation enthalpy at 0 K   -38 kJ/mol of atoms
E_tot   -3.88 eV per atom

Lattice parameters (Å, degrees): 8.868 8.868 8.868 33.56 33.56 33.56
Fractional coordinates of all 8 atoms:
Er 0.122 0.122 0.122
Er 0.372 0.372 0.372
Er 0.628 0.628 0.628
Er 0.878 0.878 0.878
Cd 0.500 0.500 0.500
Ga 0.000 0.000 0.000
Ag 0.246 0.246 0.246
Ag 0.754 0.754 0.754



No. 14
VASP calculation (PBE) on crystalline GdErCdAg at its relaxed geometry.

Formation enthalpy at 0 K   -29 kJ/mol of atoms
E_tot   -5.91 eV per atom

Lattice parameters (Å, degrees): 7.386 7.386 7.386 90.00 90.00 90.00
Fractional coordinates of all 16 atoms:
Gd 0.000 0.000 0.000
Gd 0.000 0.500 0.500
Gd 0.500 0.000 0.500
Gd 0.500 0.500 0.000
Er 0.000 0.000 0.500
Er 0.000 0.500 0.000
Er 0.500 0.000 0.000
Er 0.500 0.500 0.500
Cd 0.250 0.250 0.250
Cd 0.250 0.750 0.750
Cd 0.750 0.250 0.750
Cd 0.750 0.750 0.250
Ag 0.250 0.250 0.750
Ag 0.250 0.750 0.250
Ag 0.750 0.250 0.250
Ag 0.750 0.750 0.750



No. 15
VASP calculation (PBE) on crystalline ErCdAgGe at its relaxed geometry.

Formation enthalpy at 0 K   -28 kJ/mol of atoms
E_tot   -3.53 eV per atom

Lattice parameters (Å, degrees): 6.958 6.958 6.958 90.00 90.00 90.00
Fractional coordinates of all 16 atoms:
Er 0.000 0.000 0.000
Er 0.000 0.500 0.500
Er 0.500 0.000 0.500
Er 0.500 0.500 0.000
Cd 0.000 0.000 0.500
Cd 0.000 0.500 0.000
Cd 0.500 0.000 0.000
Cd 0.500 0.500 0.500
Ag 0.250 0.250 0.750
Ag 0.250 0.750 0.250
Ag 0.750 0.250 0.250
Ag 0.750 0.750 0.750
Ge 0.250 0.250 0.250
Ge 0.250 0.750 0.750
Ge 0.750 0.250 0.750
Ge 0.750 0.750 0.250



No. 16
VASP calculation (PBE) on crystalline ErHfCdAg at its relaxed geometry.

Formation enthalpy at 0 K   -4 kJ/mol of atoms
E_tot   -4.61 eV per atom

Lattice parameters (Å, degrees): 7.106 7.106 7.106 90.00 90.00 90.00
Fractional coordinates of all 16 atoms:
Er 0.000 0.000 0.000
Er 0.000 0.500 0.500
Er 0.500 0.000 0.500
Er 0.500 0.500 0.000
Hf 0.000 0.000 0.500
Hf 0.000 0.500 0.000
Hf 0.500 0.000 0.000
Hf 0.500 0.500 0.500
Cd 0.250 0.250 0.250
Cd 0.250 0.750 0.750
Cd 0.750 0.250 0.750
Cd 0.750 0.750 0.250
Ag 0.250 0.250 0.750
Ag 0.250 0.750 0.250
Ag 0.750 0.250 0.250
Ag 0.750 0.750 0.750



No. 17
VASP calculation (PBE) on crystalline Er4CdInAg2 at its relaxed geometry.

Formation enthalpy at 0 K   -34 kJ/mol of atoms
E_tot   -3.80 eV per atom

Lattice parameters (Å, degrees): 8.997 8.997 8.997 33.52 33.52 33.52
Fractional coordinates of all 8 atoms:
Er 0.124 0.124 0.124
Er 0.374 0.374 0.374
Er 0.626 0.626 0.626
Er 0.876 0.876 0.876
Cd 0.000 0.000 0.000
In 0.500 0.500 0.500
Ag 0.251 0.251 0.251
Ag 0.749 0.749 0.749



No. 18
VASP calculation (PBE) on crystalline ErCdAgIr at its relaxed geometry.

Formation enthalpy at 0 K   -32 kJ/mol of atoms
E_tot   -4.63 eV per atom

Lattice parameters (Å, degrees): 6.788 6.788 6.788 90.00 90.00 90.00
Fractional coordinates of all 16 atoms:
Er 0.000 0.000 0.000
Er 0.000 0.500 0.500
Er 0.500 0.000 0.500
Er 0.500 0.500 0.000
Cd 0.000 0.000 0.500
Cd 0.000 0.500 0.000
Cd 0.500 0.000 0.000
Cd 0.500 0.500 0.500
Ag 0.250 0.250 0.250
Ag 0.250 0.750 0.750
Ag 0.750 0.250 0.750
Ag 0.750 0.750 0.250
Ir 0.250 0.250 0.750
Ir 0.250 0.750 0.250
Ir 0.750 0.250 0.250
Ir 0.750 0.750 0.750



No. 19
VASP calculation (PBE) on crystalline Er4CdAgIr2 at its relaxed geometry.

Formation enthalpy at 0 K   -58 kJ/mol of atoms
E_tot   -5.57 eV per atom

Lattice parameters (Å, degrees): 8.586 8.586 8.586 33.60 33.60 33.60
Fractional coordinates of all 8 atoms:
Er 0.123 0.123 0.123
Er 0.373 0.373 0.373
Er 0.627 0.627 0.627
Er 0.877 0.877 0.877
Cd 0.500 0.500 0.500
Ag 0.000 0.000 0.000
Ir 0.249 0.249 0.249
Ir 0.751 0.751 0.751



No. 20
VASP calculation (PBE) on crystalline Er4CdAg2Ir at its relaxed geometry.

Formation enthalpy at 0 K   -50 kJ/mol of atoms
E_tot   -4.73 eV per atom

Lattice parameters (Å, degrees): 8.746 8.746 8.746 33.59 33.59 33.59
Fractional coordinates of all 8 atoms:
Er 0.115 0.115 0.115
Er 0.368 0.368 0.368
Er 0.632 0.632 0.632
Er 0.885 0.885 0.885
Cd 0.500 0.500 0.500
Ag 0.241 0.241 0.241
Ag 0.759 0.759 0.759
Ir 0.000 0.000 0.000



No. 21
VASP calculation (PBE) on crystalline La2ErCd12Ag3 at its relaxed geometry.

Formation enthalpy at 0 K   -2 kJ/mol of atoms
E_tot   -1.91 eV per atom

Lattice parameters (Å, degrees): 14.701 14.701 14.701 24.17 24.17 24.17
Fractional coordinates of all 18 atoms:
La 0.147 0.147 0.147
La 0.853 0.853 0.853
Er 0.500 0.500 0.500
Cd 0.104 0.611 0.611
Cd 0.108 0.108 0.629
Cd 0.108 0.629 0.108
Cd 0.371 0.892 0.892
Cd 0.389 0.389 0.896
Cd 0.389 0.896 0.389
Cd 0.611 0.104 0.611
Cd 0.611 0.611 0.104
Cd 0.629 0.108 0.108
Cd 0.892 0.371 0.892
Cd 0.892 0.892 0.371
Cd 0.896 0.389 0.389
Ag 0.000 0.500 0.500
Ag 0.500 0.000 0.500
Ag 0.500 0.500 0.000



No. 22
VASP calculation (PBE) on crystalline ErMg2Cd2Ag2 at its relaxed geometry.

Formation enthalpy at 0 K   -17 kJ/mol of atoms
E_tot   -2.36 eV per atom

Lattice parameters (Å, degrees): 7.815 7.815 7.815 36.33 36.33 36.33
Fractional coordinates of all 7 atoms:
Er 0.000 0.000 0.000
Mg 0.142 0.142 0.142
Mg 0.858 0.858 0.858
Cd 0.416 0.416 0.416
Cd 0.584 0.584 0.584
Ag 0.269 0.269 0.269
Ag 0.731 0.731 0.731



No. 23
VASP calculation (PBE) on crystalline ErMgCdAg at its relaxed geometry.

Formation enthalpy at 0 K   -29 kJ/mol of atoms
E_tot   -2.78 eV per atom

Lattice parameters (Å, degrees): 7.051 7.051 7.051 90.00 90.00 90.00
Fractional coordinates of all 16 atoms:
Er 0.000 0.000 0.000
Er 0.000 0.500 0.500
Er 0.500 0.000 0.500
Er 0.500 0.500 0.000
Mg 0.000 0.000 0.500
Mg 0.000 0.500 0.000
Mg 0.500 0.000 0.000
Mg 0.500 0.500 0.500
Cd 0.250 0.250 0.250
Cd 0.250 0.750 0.750
Cd 0.750 0.250 0.750
Cd 0.750 0.750 0.250
Ag 0.250 0.250 0.750
Ag 0.250 0.750 0.250
Ag 0.750 0.250 0.250
Ag 0.750 0.750 0.750



No. 24
VASP calculation (PBE) on crystalline ErCdNiAg at its relaxed geometry.

Formation enthalpy at 0 K   -21 kJ/mol of atoms
E_tot   -3.74 eV per atom

Lattice parameters (Å, degrees): 6.735 6.735 6.735 90.00 90.00 90.00
Fractional coordinates of all 16 atoms:
Er 0.000 0.000 0.000
Er 0.000 0.500 0.500
Er 0.500 0.000 0.500
Er 0.500 0.500 0.000
Cd 0.000 0.000 0.500
Cd 0.000 0.500 0.000
Cd 0.500 0.000 0.000
Cd 0.500 0.500 0.500
Ni 0.250 0.250 0.750
Ni 0.250 0.750 0.250
Ni 0.750 0.250 0.250
Ni 0.750 0.750 0.750
Ag 0.250 0.250 0.250
Ag 0.250 0.750 0.750
Ag 0.750 0.250 0.750
Ag 0.750 0.750 0.250



No. 25
VASP calculation (PBE) on crystalline Er4CdNiAg2 at its relaxed geometry.

Formation enthalpy at 0 K   -33 kJ/mol of atoms
E_tot   -4.17 eV per atom

Lattice parameters (Å, degrees): 8.709 8.709 8.709 33.79 33.79 33.79
Fractional coordinates of all 8 atoms:
Er 0.116 0.116 0.116
Er 0.368 0.368 0.368
Er 0.632 0.632 0.632
Er 0.884 0.884 0.884
Cd 0.500 0.500 0.500
Ni 0.000 0.000 0.000
Ag 0.243 0.243 0.243
Ag 0.757 0.757 0.757